Entry 1:
13
Lattice="10.115 -3.878 0.000 10.115 3.878 0.000 -0.003 0.000 5.686" Properties=species:S:1:pos:R:3 comment="La3Tb8Ho2 (GGA-PBE, relaxed)" formation_enthalpy_0k_ev_per_atom=0.243 dos_ef_per_ev_fu=21.38 pbc="T T T"
La 0.000 0.000 0.000
La 10.114 1.567 2.843
La 10.114 -1.567 2.843
Tb 2.776 0.000 2.839
Tb 7.894 1.615 0.001
Tb 6.590 0.000 2.841
Tb 12.334 1.615 5.684
Tb 7.894 -1.615 0.001
Tb 13.638 0.000 2.845
Tb 12.334 -1.615 5.684
Tb 17.452 0.000 2.847
Ho 4.878 0.000 5.682
Ho 15.350 0.000 0.004

Entry 2:
4
Lattice="4.598 0.000 0.000 2.276 3.996 0.000 2.119 1.216 7.427" Properties=species:S:1:pos:R:3 comment="Mg2BiBr (GGA-PBE, relaxed)" dos_ef_per_ev_fu=0.00 formation_energy_uncorrected_ev_per_fu=-2.36 pbc="T T T"
Mg 0.000 0.000 0.000
Mg 2.276 1.322 2.570
Bi 4.542 2.643 1.281
Br 1.507 0.917 4.971

Entry 3:
10
Lattice="0.000 4.438 4.438 4.438 0.000 4.438 4.438 4.438 0.000" Properties=species:S:1:pos:R:3 comment="Rb2PmUO6 (GGA-PBE, relaxed)" dos_ef_per_ev_fu=9.90 formation_energy_uncorrected_ev_per_fu=-26.28 pbc="T T T"
Rb 2.219 2.219 2.219
Rb 6.656 6.656 6.656
Pm 0.000 0.000 0.000
U 4.438 4.438 4.438
O 4.438 4.438 2.356
O 4.438 2.356 4.438
O 6.519 4.438 4.438
O 2.356 4.438 4.438
O 4.438 6.519 4.438
O 4.438 4.438 6.519

Entry 4:
4
Lattice="1.437 0.830 10.215 -1.437 0.830 10.215 0.000 -1.660 10.215" Properties=species:S:1:pos:R:3 comment="MgTa2W (GGA-PBE, relaxed)" formation_enthalpy_0k_ev_per_atom=0.347 dos_ef_per_ev_fu=2.55 pbc="T T T"
Mg 0.000 0.000 0.000
Ta 0.000 0.000 7.594
Ta 0.000 0.000 23.049
W 0.000 0.000 15.322

Entry 5:
3
Lattice="-1.659 1.659 5.642 1.659 -1.659 5.642 1.659 1.659 -5.642" Properties=species:S:1:pos:R:3 comment="HfZrAl (GGA-PBE, relaxed)" formation_enthalpy_0k_ev_per_atom=-0.252 dos_ef_per_ev_fu=2.27 pbc="T T T"
Hf 0.000 0.000 0.000
Zr 0.000 0.000 3.609
Al 0.000 0.000 7.421

Entry 6:
10
Lattice="-3.572 5.632 2.971 3.572 -5.632 2.971 3.572 5.632 -2.971" Properties=species:S:1:pos:R:3 comment="Ca2AlPt2 (GGA-PBE, relaxed)" formation_enthalpy_0k_ev_per_atom=-0.846 dos_ef_per_ev_fu=1.08 pbc="T T T"
Ca 1.093 1.686 0.000
Ca 1.093 -1.686 2.971
Ca 2.479 7.318 0.000
Ca 2.479 3.945 2.971
Al 3.572 0.000 1.486
Al 0.000 5.632 1.486
Pt 5.225 1.104 0.000
Pt 1.653 4.527 0.000
Pt 1.919 1.104 2.971
Pt -1.653 4.527 2.971

Entry 7:
4
Lattice="1.827 1.055 7.052 -1.827 1.055 7.052 0.000 -2.110 7.052" Properties=species:S:1:pos:R:3 comment="FeAs2Cl (GGA-PBE, relaxed)" dos_ef_per_ev_fu=2.45 formation_energy_uncorrected_ev_per_fu=-0.38 pbc="T T T"
Fe 0.000 0.000 0.000
As 0.000 0.000 8.109
As 0.000 0.000 13.046
Cl 0.000 0.000 10.578

Entry 8:
8
Lattice="4.994 0.000 0.000 0.000 4.994 0.000 0.000 0.000 9.984" Properties=species:S:1:pos:R:3 comment="TbDy6Tm (GGA-PBE, relaxed)" formation_enthalpy_0k_ev_per_atom=0.021 dos_ef_per_ev_fu=11.85 pbc="T T T"
Tb 0.000 0.000 0.000
Dy 0.000 2.497 2.506
Dy 0.000 2.497 7.478
Dy 2.497 0.000 2.506
Dy 2.497 0.000 7.478
Dy 2.497 2.497 0.000
Dy 2.497 2.497 4.992
Tm 0.000 0.000 4.992